(1)
The following is a DFT calculation (PBE) of a geometry-optimized AcSn3Ru structure.

Values from the calculation:
- DOS at the Fermi energy (states/eV/f.u.) = 2.527
- polymorph energy (0 for the lowest one) (eV per atom) = 0.035
- calculated formation energy (eV/atom) = -0.330

```
data_AcSn3Ru
_cell_length_a 4.916
_cell_length_b 4.916
_cell_length_c 5.498
_cell_angle_alpha 90.00
_cell_angle_beta 90.00
_cell_angle_gamma 90.00
_symmetry_space_group_name_H-M 'P 4 m m'
_symmetry_Int_Tables_number 99
loop_
_symmetry_equiv_pos_as_xyz
'x,y,z'
'-y,x,z'
'-x,-y,z'
'y,-x,z'
'-x,y,z'
'y,x,z'
'x,-y,z'
'-y,-x,z'
loop_
_atom_site_label
_atom_site_fract_x
_atom_site_fract_y
_atom_site_fract_z
Ac1 0.000 0.000 0.000
Sn1 0.000 0.500 0.471
Sn2 0.500 0.500 0.813
Ru1 0.500 0.500 0.278
```


(2)
The following is a DFT calculation (PBE) of a geometry-optimized Cs3PaSe8 structure.

Values from the calculation:
- E_form (uncorrected) (meV per atom) = -986

```
data_Cs3PaSe8
_cell_length_a 9.376
_cell_length_b 9.376
_cell_length_c 10.441
_cell_angle_alpha 90.00
_cell_angle_beta 90.00
_cell_angle_gamma 90.00
_symmetry_space_group_name_H-M 'I -4 2 m'
_symmetry_Int_Tables_number 121
_symmetry_space_group_name_Hall 'I -4 2'
loop_
_atom_site_label
_atom_site_fract_x
_atom_site_fract_y
_atom_site_fract_z
Cs1 0.000 0.000 0.000
Cs2 0.000 0.500 0.250
Pa1 0.000 0.000 0.500
Se1 0.138 0.138 0.292
Se2 0.217 0.217 0.498
```


(3)
The following is a DFT calculation (PBE) of a geometry-optimized LaDy2Pu structure.

Values from the calculation:
- DOS at the Fermi energy (states/eV/f.u.) = 11.341
- polymorph energy (0 for the lowest one) (eV per atom) = 0.007
- calculated formation energy (eV/atom) = 0.118

```
data_LaDy2Pu
_cell_length_a 3.5581
_cell_length_b 3.5581
_cell_length_c 34.8132
_cell_angle_alpha 90.00
_cell_angle_beta 90.00
_cell_angle_gamma 120.00
_symmetry_space_group_name_H-M 'R 3 m'
_symmetry_Int_Tables_number 160
_symmetry_space_group_name_Hall 'R 3 -2"'
loop_
_atom_site_label
_atom_site_fract_x
_atom_site_fract_y
_atom_site_fract_z
La1 0.0000 0.0000 0.0000
Dy1 0.0000 0.0000 0.5788
Dy2 0.0000 0.0000 0.7530
Pu1 0.0000 0.0000 0.1654
```


(4)
The following is a DFT calculation (PBE) of a geometry-optimized TaTiRu3 structure.

Values from the calculation:
- DOS at the Fermi energy (states/eV/f.u.) = 3.804
- polymorph energy (0 for the lowest one) (eV per atom) = 0.000
- calculated formation energy (eV/atom) = 0.880

```
data_TaTiRu3
_cell_length_a 4.431
_cell_length_b 4.431
_cell_length_c 4.431
_cell_angle_alpha 90.00
_cell_angle_beta 90.00
_cell_angle_gamma 90.00
_symmetry_space_group_name_H-M 'P m -3 m'
_symmetry_Int_Tables_number 221
_symmetry_space_group_name_Hall '-P 4 2 3'
loop_
_atom_site_label
_atom_site_fract_x
_atom_site_fract_y
_atom_site_fract_z
Ta1 0.000 0.000 0.000
Ti1 0.500 0.500 0.500
Ru1 0.000 0.500 0.500
```


(5)
The following is a DFT calculation (PBE) of a geometry-optimized SbCl structure.

Values from the calculation:
- DOS at the Fermi energy (states/eV/f.u.) = 1.006
- polymorph energy (0 for the lowest one) (eV per atom) = 0.288
- E_form (uncorrected) (meV per atom) = -187

```
data_SbCl
_cell_length_a 3.5805
_cell_length_b 3.5805
_cell_length_c 30.5750
_cell_angle_alpha 90.00
_cell_angle_beta 90.00
_cell_angle_gamma 120.00
_symmetry_space_group_name_H-M 'R -3 m'
_symmetry_Int_Tables_number 166
_symmetry_space_group_name_Hall '-R 3 2"'
loop_
_atom_site_label
_atom_site_fract_x
_atom_site_fract_y
_atom_site_fract_z
Sb1 0.0000 0.0000 0.1264
Cl1 0.0000 0.0000 0.3941
```


(6)
The following is a DFT calculation (PBE) of a geometry-optimized LiZnMoSe2 structure.

Values from the calculation:
- DOS at the Fermi energy (states/eV/f.u.) = 3.949
- E_form (uncorrected) (meV per atom) = 707

```
data_LiZnMoSe2
_cell_length_a 5.029
_cell_length_b 5.029
_cell_length_c 4.893
_cell_angle_alpha 90.00
_cell_angle_beta 90.00
_cell_angle_gamma 90.00
_symmetry_space_group_name_H-M 'P 4/m m m'
_symmetry_Int_Tables_number 123
_symmetry_space_group_name_Hall '-P 4 2'
loop_
_atom_site_label
_atom_site_fract_x
_atom_site_fract_y
_atom_site_fract_z
Li1 0.000 0.000 0.000
Zn1 0.500 0.500 0.500
Mo1 0.500 0.500 0.000
Se1 0.000 0.500 0.500
```


So what do the calculations give for mass density? Going down the list: 8.55; 4.56; 9.24; 10.15; 4.61; 4.38 g/cm3.
So what do the calculations give for M_tot? Going down the list: 0.00; 0.00; 6.10; 0.00; 0.00; 3.85 μB per formula unit.